Version a
## Nd3HoEr4 (PBE)

Data for a geometry-optimized Nd3HoEr4 structure.

POSCAR file:
```
Nd3HoEr4
1.0
11.408 0.000 0.000
0.000 7.298 0.000
0.000 0.000 6.283
Nd Ho Er
6 2 8
Cartesian
0.000 0.932 0.000
2.852 0.927 2.107
2.852 6.371 5.249
5.704 6.366 3.142
8.556 0.927 2.107
8.556 6.371 5.249
0.000 6.345 3.135
5.704 0.953 6.276
0.000 2.761 3.146
0.000 4.530 0.008
2.830 4.533 2.101
2.874 2.765 5.243
5.704 2.768 3.150
5.704 4.538 0.005
8.534 2.765 5.243
8.578 4.533 2.101
```

- Total magnetic moment: 0.002 μB per formula unit
- Theoretical density: 8.042 g/cm³



Version b
## Nd3HoEr4 (PBE)

Data for a geometry-optimized Nd3HoEr4 structure.

POSCAR file:
```
Nd3HoEr4
1.0
-1.738 5.820 6.494
1.738 -5.820 6.494
1.738 5.820 -6.494
Nd Ho Er
3 1 4
Cartesian
0.000 0.000 0.000
1.738 0.000 3.327
0.000 5.820 3.166
0.000 0.000 6.494
1.738 2.969 -1.753
1.738 2.969 1.753
0.000 2.851 4.741
0.000 2.851 8.246
```

- Total magnetic moment: 0.000 μB per formula unit
- Theoretical density: 8.005 g/cm³



Which one is most stable, and which one is least stable? version a is the most stable of them, while version b is the least stable.



Version a
## Nd2Ho4Er5 (PBE)

Data for a geometry-optimized Nd2Ho4Er5 structure.

POSCAR file:
```
Nd2Ho4Er5
1.0
3.544 0.000 0.000
0.006 8.680 0.000
1.764 2.886 11.250
Nd Ho Er
2 4 5
Cartesian
0.886 2.900 3.569
4.428 8.666 7.681
0.890 8.669 1.525
2.654 2.919 6.673
2.661 8.647 4.577
4.424 2.897 9.725
0.885 5.783 5.625
2.654 8.676 10.761
2.654 5.768 8.703
2.660 5.797 2.547
2.661 2.889 0.489
```

- Total magnetic moment: 0.000 μB per formula unit
- Theoretical density: 8.563 g/cm³



Version b
## Nd2Ho4Er5 (PBE)

Data for a geometry-optimized Nd2Ho4Er5 structure.

POSCAR file:
```
Nd2Ho4Er5
1.0
-1.740 4.490 11.567
1.740 -4.490 11.567
1.740 4.490 -11.567
Nd Ho Er
2 4 5
Cartesian
0.000 0.000 5.384
0.000 0.000 17.751
0.000 0.000 2.245
1.740 1.710 0.000
0.000 2.780 11.567
0.000 0.000 20.890
1.740 2.750 -3.257
1.740 2.750 3.257
0.000 4.490 0.000
0.000 1.740 8.310
0.000 1.740 14.824
```

- Total magnetic moment: 0.000 μB per formula unit
- Theoretical density: 8.199 g/cm³



Which one is most stable, and which one is least stable? version a is the most stable of them, while version b is the least stable.



Version a
## Nd4HoEr7 (PBE)

Data for a geometry-optimized Nd4HoEr7 structure.

POSCAR file:
```
Nd4HoEr7
1.0
6.549 0.000 0.000
1.019 6.752 0.000
2.004 0.549 8.790
Nd Ho Er
4 1 7
Cartesian
1.800 2.235 2.514
4.486 6.357 6.088
5.087 0.944 2.702
7.772 5.067 6.276
3.784 3.376 0.000
2.238 2.231 8.368
2.713 5.584 3.127
3.697 3.005 5.442
3.275 0.000 0.000
5.875 4.297 3.348
6.860 1.718 5.663
7.334 5.071 0.422
```

- Total magnetic moment: 0.000 μB per formula unit
- Theoretical density: 8.171 g/cm³



Version b
## Nd4HoEr7 (PBE)

Data for a geometry-optimized Nd4HoEr7 structure.

POSCAR file:
```
Nd4HoEr7
1.0
6.044 -2.943 0.000
6.044 2.943 0.000
-6.029 0.000 11.276
Nd Ho Er
4 1 7
Cartesian
0.028 0.000 3.128
-1.629 0.000 9.446
7.688 0.000 1.830
6.030 0.000 8.148
3.029 0.000 5.638
-3.015 0.000 5.638
-4.394 0.000 11.198
0.010 0.000 6.498
4.027 0.000 2.166
2.031 0.000 9.110
6.049 0.000 4.777
10.452 0.000 0.078
```

- Total magnetic moment: 0.000 μB per formula unit
- Theoretical density: 7.919 g/cm³



Which one is most stable, and which one is least stable? version a is the most stable of them, while version b is the least stable.



Version a
## NdHo2Er5 (PBE)

Data for a geometry-optimized NdHo2Er5 structure.

POSCAR file:
```
NdHo2Er5
1.0
7.066 0.000 0.000
0.000 14.140 0.000
0.000 0.000 4.983
Nd Ho Er
2 4 10
Cartesian
0.000 0.000 0.000
3.533 7.070 0.000
1.762 5.289 2.492
1.771 12.359 2.492
5.295 1.781 2.492
5.304 8.851 2.492
0.002 3.552 0.000
0.000 7.070 0.000
7.064 10.588 0.000
1.760 8.849 2.492
1.773 1.779 2.492
3.533 0.000 0.000
3.535 3.518 0.000
3.531 10.622 0.000
5.293 12.360 2.492
5.306 5.290 2.492
```

- Total magnetic moment: 0.000 μB per formula unit
- Theoretical density: 8.741 g/cm³



Version b
## NdHo2Er5 (PBE)

Data for a geometry-optimized NdHo2Er5 structure.

POSCAR file:
```
NdHo2Er5
1.0
2.804 -8.098 0.000
2.804 8.098 0.000
0.000 0.000 11.382
Nd Ho Er
2 4 10
Cartesian
2.804 4.420 8.536
2.804 -4.420 2.845
2.804 4.659 0.917
2.804 4.659 4.774
2.804 -4.659 6.608
2.804 -4.659 10.465
2.804 7.396 6.969
2.804 7.396 10.103
2.804 1.678 2.845
2.804 1.409 6.574
2.804 1.409 10.499
2.804 -1.409 0.883
2.804 -1.409 4.808
2.804 -1.678 8.536
2.804 -7.396 1.279
2.804 -7.396 4.412
```

- Total magnetic moment: 0.000 μB per formula unit
- Theoretical density: 8.420 g/cm³



Which one is most stable, and which one is least stable? version a is the most stable of them, while version b is the least stable.



Version a
## Nd5HoEr3 (PBE)

Data for a geometry-optimized Nd5HoEr3 structure.

POSCAR file:
```
Nd5HoEr3
1.0
-4.654 4.654 7.128
4.654 -4.654 7.128
4.654 4.654 -7.128
Nd Ho Er
10 2 6
Cartesian
0.000 0.000 0.000
6.527 1.873 -1.887
1.873 2.781 -1.887
6.527 1.873 1.887
1.873 2.781 1.887
0.000 0.000 7.128
2.781 1.873 5.241
-1.873 2.781 5.241
2.781 1.873 9.016
-1.873 2.781 9.016
4.654 0.000 3.564
0.000 4.654 3.564
3.634 1.020 0.000
0.000 0.000 3.564
3.634 -1.020 7.128
1.020 5.674 0.000
0.000 0.000 10.693
1.020 3.634 7.128
```

- Total magnetic moment: 0.000 μB per formula unit
- Theoretical density: 7.463 g/cm³



Version b
## Nd5HoEr3 (PBE)

Data for a geometry-optimized Nd5HoEr3 structure.

POSCAR file:
```
Nd5HoEr3
1.0
10.028 -3.153 0.000
10.028 3.153 0.000
-6.414 0.000 9.847
Nd Ho Er
10 2 6
Cartesian
5.085 2.098 3.354
5.218 2.539 7.385
2.118 1.089 6.593
11.764 2.098 1.570
5.325 -1.089 1.669
8.317 1.089 8.178
1.878 -2.098 8.277
11.524 -1.089 3.254
8.425 -2.539 2.462
8.557 -2.098 6.493
8.425 0.673 2.462
5.218 -0.673 7.385
0.258 1.392 9.585
10.178 1.392 5.185
10.028 0.000 0.000
6.821 0.000 4.924
3.465 -1.392 4.662
13.384 -1.392 0.262
```

- Total magnetic moment: 0.000 μB per formula unit
- Theoretical density: 7.402 g/cm³



Which one is most stable, and which one is least stable? version b is the most stable of them, while version a is the least stable.



Version a
## NdHo4Er2 (PBE)

Data for a geometry-optimized NdHo4Er2 structure.

POSCAR file:
```
NdHo4Er2
1.0
8.284 -1.757 0.000
8.284 1.757 0.000
-4.256 0.000 7.590
Nd Ho Er
1 4 2
Cartesian
0.000 0.000 0.000
1.878 0.000 5.356
5.228 0.000 1.275
7.085 0.000 6.315
10.434 0.000 2.234
-0.663 0.000 3.268
12.975 0.000 4.322
```

- Total magnetic moment: 0.000 μB per formula unit
- Theoretical density: 8.557 g/cm³



Version b
## NdHo4Er2 (PBE)

Data for a geometry-optimized NdHo4Er2 structure.

POSCAR file:
```
NdHo4Er2
1.0
6.087 0.000 0.000
0.000 6.528 0.000
-2.797 0.000 11.108
Nd Ho Er
2 8 4
Cartesian
-0.757 1.632 4.032
4.047 4.896 7.076
-0.951 1.632 7.375
-0.849 4.896 10.267
1.531 3.315 2.343
1.531 6.477 2.343
1.759 0.051 8.765
1.759 3.213 8.765
4.139 1.632 0.841
4.241 4.896 3.734
-1.726 1.632 10.542
0.989 4.896 5.631
2.301 1.632 5.477
5.016 4.896 0.567
```

- Total magnetic moment: 0.000 μB per formula unit
- Theoretical density: 8.566 g/cm³



Which one is most stable, and which one is least stable? version a is the most stable of them, while version b is the least stable.



Version a
## Nd3Ho5Er (PBE)

Data for a geometry-optimized Nd3Ho5Er structure.

POSCAR file:
```
Nd3Ho5Er
1.0
8.243 -3.358 0.000
8.243 3.358 0.000
-3.819 0.000 10.751
Nd Ho Er
6 10 2
Cartesian
0.000 0.000 0.000
-1.909 0.000 5.376
1.871 0.845 6.942
3.781 -0.845 1.567
8.887 0.845 9.184
10.797 -0.845 3.809
-0.436 0.812 9.390
1.473 -0.812 4.014
7.289 1.211 2.688
4.743 0.024 4.894
2.834 -0.024 10.269
9.834 0.024 0.482
7.925 -0.024 5.857
5.379 -1.211 8.063
11.195 0.812 6.737
13.104 -0.812 1.361
5.379 1.837 8.063
7.289 -1.837 2.688
```

- Total magnetic moment: 0.000 μB per formula unit
- Theoretical density: 7.948 g/cm³



Version b
## Nd3Ho5Er (PBE)

Data for a geometry-optimized Nd3Ho5Er structure.

POSCAR file:
```
Nd3Ho5Er
1.0
7.660 -5.662 0.000
7.660 5.662 0.000
-6.494 0.000 7.605
Nd Ho Er
6 10 2
Cartesian
0.000 0.000 0.000
-1.871 0.000 2.347
6.406 0.000 1.039
4.413 0.000 3.803
2.420 0.000 6.566
10.698 0.000 5.259
0.360 2.836 5.688
-1.383 0.000 5.521
4.413 2.917 3.803
1.247 0.000 3.536
8.466 2.836 1.917
0.360 -2.836 5.688
7.579 0.000 4.069
4.413 -2.917 3.803
10.209 0.000 2.084
8.466 -2.836 1.917
3.194 0.000 0.784
5.632 0.000 6.821
```

- Total magnetic moment: 0.000 μB per formula unit
- Theoretical density: 7.172 g/cm³



Which one is most stable, and which one is least stable? version a is the most stable of them, while version b is the least stable.



Version a
## Nd5Ho2Er2 (PBE)

Data for a geometry-optimized Nd5Ho2Er2 structure.

POSCAR file:
```
Nd5Ho2Er2
1.0
-7.565 6.441 3.109
7.565 -6.441 3.109
7.565 6.441 -3.109
Nd Ho Er
10 4 4
Cartesian
9.742 4.063 -0.985
5.388 -2.378 2.124
0.741 2.569 0.000
6.823 2.569 0.000
-2.177 2.378 2.124
9.742 2.378 2.124
3.782 4.174 1.558
0.741 3.871 3.109
6.823 3.871 3.109
-3.782 8.708 1.558
3.782 5.718 -1.400
3.782 0.723 1.709
0.000 0.000 2.533
7.565 0.000 2.533
-2.044 5.800 2.149
2.044 -0.641 5.258
2.044 7.081 2.149
5.521 7.081 2.149
```

- Total magnetic moment: 0.000 μB per formula unit
- Theoretical density: 7.594 g/cm³



Version b
## Nd5Ho2Er2 (PBE)

Data for a geometry-optimized Nd5Ho2Er2 structure.

POSCAR file:
```
Nd5Ho2Er2
1.0
5.712 -2.551 0.000
5.712 2.551 0.000
-3.404 0.000 10.259
Nd Ho Er
5 2 2
Cartesian
0.000 0.000 0.000
2.297 0.000 4.567
3.441 0.000 1.152
4.578 0.000 9.106
5.722 0.000 5.692
-1.130 0.000 3.422
9.149 0.000 6.837
1.154 0.000 7.960
6.865 0.000 2.298
```

- Total magnetic moment: 0.001 μB per formula unit
- Theoretical density: 7.695 g/cm³



Which one is most stable, and which one is least stable? version b is the most stable of them, while version a is the least stable.



Version a
## Nd2Ho9Er (PBE)

Data for a geometry-optimized Nd2Ho9Er structure.

POSCAR file:
```
Nd2Ho9Er
1.0
11.224 0.000 0.000
-5.612 9.720 0.000
0.000 0.000 3.485
Nd Ho Er
2 9 1
Cartesian
0.000 6.480 0.000
5.612 3.240 0.000
-2.806 4.860 0.000
0.000 3.370 1.742
-2.694 8.036 1.742
2.918 1.685 1.742
5.612 0.000 0.000
2.806 4.860 0.000
2.694 8.036 1.742
8.306 1.685 1.742
5.612 6.351 1.742
0.000 0.000 0.000
```

- Total magnetic moment: 0.001 μB per formula unit
- Theoretical density: 8.473 g/cm³



Version b
## Nd2Ho9Er (PBE)

Data for a geometry-optimized Nd2Ho9Er structure.

POSCAR file:
```
Nd2Ho9Er
1.0
5.019 0.000 0.000
0.000 5.019 0.000
0.000 0.000 15.054
Nd Ho Er
2 9 1
Cartesian
0.000 0.000 2.518
0.000 0.000 12.536
0.000 2.509 0.000
0.000 2.509 5.054
0.000 2.509 10.000
2.509 0.000 0.000
2.509 0.000 5.054
2.509 0.000 10.000
2.509 2.509 2.532
2.509 2.509 7.527
2.509 2.509 12.522
0.000 0.000 7.527
```

- Total magnetic moment: 0.015 μB per formula unit
- Theoretical density: 8.496 g/cm³



Which one is most stable, and which one is least stable? version b is the most stable of them, while version a is the least stable.